Record 1
Material: MgTa2Te
Method: DFT, PBE
State: optimized geometry

Properties
energy above the most stable polymorph in this dataset	1.026	eV/f.u.
D(E_F)	4.180	states/eV per cell
formation energy (no corrections)	371	meV per atom

Cell and atoms, written as CIF:
```
data_MgTa2Te
_cell_length_a 4.1037
_cell_length_b 4.1037
_cell_length_c 4.6088
_cell_angle_alpha 90.00
_cell_angle_beta 90.00
_cell_angle_gamma 90.00
_symmetry_space_group_name_H-M 'P 4/m m m'
_symmetry_Int_Tables_number 123
_symmetry_space_group_name_Hall '-P 4 2'
loop_
_atom_site_label
_atom_site_fract_x
_atom_site_fract_y
_atom_site_fract_z
_atom_site_occupancy
Mg1 0.0000 0.0000 0.0000 1
Ta1 0.0000 0.5000 0.5000 1
Te1 0.5000 0.5000 0.0000 1
```

Record 2
Material: Na2Ag3Pd
Method: DFT, PBE
State: optimized geometry

Properties
energy above the most stable polymorph in this dataset	0.000	eV/f.u.
D(E_F)	4.057	states/eV per cell
calculated formation energy	-0.1264	eV/atom

Cell and atoms, written as CIF:
```
data_Na2Ag3Pd
_cell_length_a 9.7008
_cell_length_b 5.6035
_cell_length_c 5.5525
_cell_angle_alpha 90.00
_cell_angle_beta 124.73
_cell_angle_gamma 90.00
_symmetry_space_group_name_H-M 'C 1 2/m 1'
_symmetry_Int_Tables_number 12
_symmetry_space_group_name_Hall '-C 2y'
loop_
_atom_site_label
_atom_site_fract_x
_atom_site_fract_y
_atom_site_fract_z
_atom_site_occupancy
Na1 0.1273 0.0000 0.3723 1
Ag1 0.0000 0.5000 0.5000 1
Ag2 0.2500 0.2500 0.0000 1
Pd1 0.0000 0.5000 0.0000 1
```

Record 3
Material: TbNd4Sm2Cd
Method: DFT, PBE
State: optimized geometry

Properties
D(E_F)	10.496	states/eV per cell
calculated formation energy	-0.0389	eV/atom

Cell and atoms, written as CIF:
```
data_TbNd4Sm2Cd
_cell_length_a 5.0226
_cell_length_b 5.0361
_cell_length_c 10.2384
_cell_angle_alpha 90.00
_cell_angle_beta 90.00
_cell_angle_gamma 90.00
_symmetry_space_group_name_H-M 'P m m m'
_symmetry_Int_Tables_number 47
_symmetry_space_group_name_Hall '-P 2 2'
loop_
_atom_site_label
_atom_site_fract_x
_atom_site_fract_y
_atom_site_fract_z
_atom_site_occupancy
Tb1 0.0000 0.0000 0.0000 1
Nd1 0.0000 0.5000 0.2555 1
Nd2 0.5000 0.0000 0.2553 1
Sm1 0.0000 0.0000 0.5000 1
Sm2 0.5000 0.5000 0.0000 1
Cd1 0.5000 0.5000 0.5000 1
```

Record 4
Material: Dy6Er3Tm
Method: DFT, PBE
State: optimized geometry

Properties
energy above the most stable polymorph in this dataset	0.234	eV/f.u.
D(E_F)	56.796	states/eV per cell
calculated formation energy	0.1488	eV/atom

Cell and atoms, written as CIF:
```
data_Dy6Er3Tm
_cell_length_a 10.8986
_cell_length_b 18.8139
_cell_length_c 6.1326
_cell_angle_alpha 90.00
_cell_angle_beta 90.00
_cell_angle_gamma 90.00
_symmetry_space_group_name_H-M 'C m c 21'
_symmetry_Int_Tables_number 36
_symmetry_space_group_name_Hall 'C 2c -2'
loop_
_atom_site_label
_atom_site_fract_x
_atom_site_fract_y
_atom_site_fract_z
_atom_site_occupancy
Dy1 0.0000 0.0470 0.0000 1
Dy2 0.0000 0.2810 0.7250 1
Dy3 0.1647 0.4539 0.6155 1
Dy4 0.2445 0.2900 0.4370 1
Er1 0.0000 0.3897 0.1504 1
Er2 0.1691 0.1092 0.5372 1
Tm1 0.0000 0.2063 0.2220 1
```

These records have E_tot values of -6.739 -2.857 -4.296 -4.429 eV per atom, in the order they appear.